10
Lattice="4.904 0.000 0.000 0.000 6.559 -0.091 0.000 -2.946 8.940" Properties=species:S:1:pos:R:3 comment="Sr2LiHPb | Alexandria via LeMat-Bulk | PBE-GGA | optimized geometry" n_ef_per_ev_cell=1.31 de_polymorph_mev_per_atom=0 pbc="T T T"
Sr 3.678 3.500 4.864
Sr 3.678 4.992 0.431
Sr 1.226 0.113 3.984
Sr 1.226 -1.380 8.418
Li 1.226 1.643 7.011
Li 3.678 1.970 1.838
H 1.226 2.776 8.414
H 3.678 0.837 0.434
Pb 1.226 3.363 2.500
Pb 3.678 0.250 6.349